## i
Material: Ac2PrTl4
Method: DFT, PBE
State: relaxed

Output
The value obtained for the density of states at the Fermi level is 6.48 states/eV/cell. The symmetry is I4/mmm. Its magnetic moment is 0.00 μB/cell.

Lattice parameters (Å, degrees): 8.639 8.639 8.639 141.49 141.49 55.59
Fractional positions:
Ac1 0.240 0.240 0.000
Ac2 0.760 0.760 0.000
Pr1 0.500 0.500 0.000
Tl1 0.108 0.608 0.500
Tl2 0.392 0.892 0.500
Tl3 0.608 0.108 0.500
Tl4 0.892 0.392 0.500

=====

## ii
Material: Ac2PrTl4
Method: DFT, PBE
State: relaxed

Output
The value obtained for the density of states at the Fermi level is 9.60 states/eV/cell. The symmetry is P2_1/m. Its magnetic moment is 0.00 μB/cell.

Lattice parameters (Å, degrees): 6.440 6.603 11.111 90.00 103.85 90.00
Fractional positions:
Ac1 0.128 0.250 0.417
Ac2 0.342 0.750 0.991
Ac3 0.658 0.250 0.009
Ac4 0.872 0.750 0.583
Pr1 0.025 0.250 0.805
Pr2 0.975 0.750 0.195
Tl1 0.192 0.250 0.114
Tl2 0.313 0.750 0.456
Tl3 0.407 0.003 0.715
Tl4 0.407 0.497 0.715
Tl5 0.593 0.503 0.285
Tl6 0.593 0.997 0.285
Tl7 0.687 0.250 0.544
Tl8 0.808 0.750 0.886

=====

Structures ranked by computed energy, the most stable listed first: ii, i.

=====

## i
Material: AcPr3Tl3
Method: DFT, PBE
State: relaxed

Output
The value obtained for the density of states at the Fermi level is 13.53 states/eV/cell. The symmetry is P6_3/m. Its magnetic moment is 0.00 μB/cell.

Lattice parameters (Å, degrees): 10.008 10.008 5.409 90.00 90.00 120.00
Fractional positions:
Ac1 0.333 0.667 0.250
Ac2 0.667 0.333 0.750
Pr1 0.007 0.764 0.750
Pr2 0.236 0.243 0.750
Pr3 0.243 0.007 0.250
Pr4 0.757 0.993 0.750
Pr5 0.764 0.757 0.250
Pr6 0.993 0.236 0.250
Tl1 0.064 0.445 0.750
Tl2 0.381 0.936 0.750
Tl3 0.445 0.381 0.250
Tl4 0.555 0.619 0.750
Tl5 0.619 0.064 0.250
Tl6 0.936 0.555 0.250

=====

## ii
Material: AcPr3Tl3
Method: DFT, PBE
State: relaxed

Output
The value obtained for the density of states at the Fermi level is 32.41 states/eV/cell. The symmetry is P2_13. Its magnetic moment is 0.00 μB/cell.

Lattice parameters (Å, degrees): 9.830 9.830 9.830 90.00 90.00 90.00
Fractional positions:
Ac1 0.072 0.428 0.572
Ac2 0.428 0.572 0.072
Ac3 0.572 0.072 0.428
Ac4 0.928 0.928 0.928
Pr1 0.079 0.579 0.921
Pr2 0.179 0.179 0.179
Pr3 0.179 0.821 0.321
Pr4 0.321 0.179 0.821
Pr5 0.321 0.821 0.679
Pr6 0.421 0.421 0.421
Pr7 0.579 0.921 0.079
Pr8 0.679 0.321 0.821
Pr9 0.679 0.679 0.679
Pr10 0.821 0.321 0.179
Pr11 0.821 0.679 0.321
Pr12 0.921 0.079 0.579
Tl1 0.002 0.259 0.883
Tl2 0.117 0.502 0.241
Tl3 0.241 0.117 0.502
Tl4 0.259 0.883 0.002
Tl5 0.383 0.498 0.741
Tl6 0.498 0.741 0.383
Tl7 0.502 0.241 0.117
Tl8 0.617 0.998 0.759
Tl9 0.741 0.383 0.498
Tl10 0.759 0.617 0.998
Tl11 0.883 0.002 0.259
Tl12 0.998 0.759 0.617

=====

Structures ranked by computed energy, the most stable listed first: ii, i.

=====

## i
Material: Ac2PrTl3
Method: DFT, PBE
State: relaxed

Output
The value obtained for the density of states at the Fermi level is 6.00 states/eV/cell. The symmetry is P4/mmm. Its magnetic moment is 0.00 μB/cell.

Lattice parameters (Å, degrees): 4.054 4.054 12.273 90.00 90.00 90.00
Fractional positions:
Ac1 0.000 0.000 0.173
Ac2 0.000 0.000 0.827
Pr1 0.000 0.000 0.500
Tl1 0.500 0.500 0.000
Tl2 0.500 0.500 0.349
Tl3 0.500 0.500 0.651

=====

## ii
Material: Ac2PrTl3
Method: DFT, PBE
State: relaxed

Output
The value obtained for the density of states at the Fermi level is 10.64 states/eV/cell. The symmetry is Cmcm. Its magnetic moment is 0.00 μB/cell.

Lattice parameters (Å, degrees): 15.206 15.206 7.286 90.00 90.00 165.01
Fractional positions:
Ac1 0.011 0.989 0.750
Ac2 0.158 0.842 0.250
Ac3 0.842 0.158 0.750
Ac4 0.989 0.011 0.250
Pr1 0.338 0.662 0.250
Pr2 0.662 0.338 0.750
Tl1 0.248 0.752 0.750
Tl2 0.423 0.577 0.531
Tl3 0.423 0.577 0.969
Tl4 0.577 0.423 0.031
Tl5 0.577 0.423 0.469
Tl6 0.752 0.248 0.250

=====

Structures ranked by computed energy, the most stable listed first: i, ii.

=====

## i
Material: Ac6PrTl2
Method: DFT, PBE
State: relaxed

Output
The value obtained for the density of states at the Fermi level is 11.42 states/eV/cell. The symmetry is C2/m. Its magnetic moment is 0.00 μB/cell.

Lattice parameters (Å, degrees): 7.338 7.338 13.096 107.08 107.08 32.27
Fractional positions:
Ac1 0.026 0.026 0.336
Ac2 0.309 0.309 0.406
Ac3 0.321 0.321 0.123
Ac4 0.679 0.679 0.877
Ac5 0.691 0.691 0.594
Ac6 0.974 0.974 0.664
Pr1 0.000 0.000 0.000
Tl1 0.359 0.359 0.813
Tl2 0.641 0.641 0.187

=====

## ii
Material: Ac6PrTl2
Method: DFT, PBE
State: relaxed

Output
The value obtained for the density of states at the Fermi level is 25.07 states/eV/cell. The symmetry is C2/c. Its magnetic moment is 0.00 μB/cell.

Lattice parameters (Å, degrees): 10.557 10.557 6.673 94.64 94.64 73.26
Fractional positions:
Ac1 0.063 0.821 0.990
Ac2 0.143 0.401 0.172
Ac3 0.179 0.937 0.510
Ac4 0.243 0.525 0.687
Ac5 0.401 0.143 0.672
Ac6 0.475 0.757 0.813
Ac7 0.525 0.243 0.187
Ac8 0.599 0.857 0.328
Ac9 0.757 0.475 0.313
Ac10 0.821 0.063 0.490
Ac11 0.857 0.599 0.828
Ac12 0.937 0.179 0.010
Pr1 0.391 0.609 0.250
Pr2 0.609 0.391 0.750
Tl1 0.035 0.285 0.589
Tl2 0.285 0.035 0.089
Tl3 0.715 0.965 0.911
Tl4 0.965 0.715 0.411

=====

Structures ranked by computed energy, the most stable listed first: i, ii.

=====

## i
Material: AcPr3Tl2
Method: DFT, PBE
State: relaxed

Output
The value obtained for the density of states at the Fermi level is 6.25 states/eV/cell. The symmetry is P4/mmm. Its magnetic moment is 0.00 μB/cell.

Lattice parameters (Å, degrees): 3.791 3.791 13.917 90.00 90.00 90.00
Fractional positions:
Ac1 0.000 0.000 0.000
Pr1 0.500 0.500 0.194
Pr2 0.500 0.500 0.500
Pr3 0.500 0.500 0.806
Tl1 0.000 0.000 0.344
Tl2 0.000 0.000 0.656

=====

## ii
Material: AcPr3Tl2
Method: DFT, PBE
State: relaxed

Output
The value obtained for the density of states at the Fermi level is 13.18 states/eV/cell. The symmetry is C2/m. Its magnetic moment is 0.00 μB/cell.

Lattice parameters (Å, degrees): 9.191 9.191 9.525 116.39 116.39 35.57
Fractional positions:
Ac1 0.128 0.128 0.178
Ac2 0.872 0.872 0.822
Pr1 0.062 0.062 0.713
Pr2 0.302 0.302 0.005
Pr3 0.381 0.381 0.461
Pr4 0.619 0.619 0.539
Pr5 0.698 0.698 0.995
Pr6 0.938 0.938 0.287
Tl1 0.227 0.227 0.602
Tl2 0.493 0.493 0.834
Tl3 0.507 0.507 0.166
Tl4 0.773 0.773 0.398

=====

Structures ranked by computed energy, the most stable listed first: i, ii.

=====

## i
Material: Ac2PrTm
Method: DFT, PBE
State: relaxed

Output
The value obtained for the density of states at the Fermi level is 6.37 states/eV/cell. The symmetry is R3m. Its magnetic moment is 0.00 μB/cell.

Lattice parameters (Å, degrees): 12.413 12.413 12.413 17.73 17.73 17.73
Fractional positions:
Ac1 0.000 0.000 0.000
Ac2 0.171 0.171 0.171
Pr1 0.418 0.418 0.418
Tm1 0.586 0.586 0.586

=====

## ii
Material: Ac2PrTm
Method: DFT, PBE
State: relaxed

Output
The value obtained for the density of states at the Fermi level is 6.76 states/eV/cell. The symmetry is R-3m. Its magnetic moment is 0.00 μB/cell.

Lattice parameters (Å, degrees): 13.386 13.386 13.386 15.99 15.99 15.99
Fractional positions:
Ac1 0.087 0.087 0.087
Ac2 0.913 0.913 0.913
Pr1 0.500 0.500 0.500
Tm1 0.000 0.000 0.000

=====

## iii
Material: Ac2PrTm
Method: DFT, PBE
State: relaxed

Output
The value obtained for the density of states at the Fermi level is 6.40 states/eV/cell. The symmetry is P4/mmm. Its magnetic moment is 0.00 μB/cell.

Lattice parameters (Å, degrees): 3.888 3.888 10.209 90.00 90.00 90.00
Fractional positions:
Ac1 0.000 0.000 0.242
Ac2 0.000 0.000 0.758
Pr1 0.500 0.500 0.500
Tm1 0.500 0.500 0.000

=====

Structures ranked by computed energy, the most stable listed first: iii, i, ii.

=====

## i
Material: AcPrTm
Method: DFT, PBE
State: relaxed

Output
The value obtained for the density of states at the Fermi level is 10.34 states/eV/cell. The symmetry is P6_3/mmc. Its magnetic moment is 0.00 μB/cell.

Lattice parameters (Å, degrees): 5.944 5.944 7.321 90.00 90.00 120.00
Fractional positions:
Ac1 0.333 0.667 0.250
Ac2 0.667 0.333 0.750
Pr1 0.000 0.000 0.000
Pr2 0.000 0.000 0.500
Tm1 0.333 0.667 0.750
Tm2 0.667 0.333 0.250

=====

## ii
Material: AcPrTm
Method: DFT, PBE
State: relaxed

Output
The value obtained for the density of states at the Fermi level is 4.81 states/eV/cell. The symmetry is I4mm. Its magnetic moment is 0.00 μB/cell.

Lattice parameters (Å, degrees): 8.196 8.196 8.196 153.33 153.33 38.07
Fractional positions:
Ac1 0.000 0.000 0.000
Pr1 0.677 0.677 0.000
Tm1 0.331 0.331 0.000

=====

## iii
Material: AcPrTm
Method: DFT, PBE
State: relaxed

Output
The value obtained for the density of states at the Fermi level is 3.98 states/eV/cell. The symmetry is P-6m2. Its magnetic moment is 0.00 μB/cell.

Lattice parameters (Å, degrees): 5.929 5.929 3.614 90.00 90.00 120.00
Fractional positions:
Ac1 0.000 0.000 0.000
Pr1 0.667 0.333 0.500
Tm1 0.333 0.667 0.000

=====

## iv
Material: AcPrTm
Method: DFT, PBE
State: relaxed

Output
The value obtained for the density of states at the Fermi level is 9.48 states/eV/cell. The symmetry is P2_1/m. Its magnetic moment is 0.00 μB/cell.

Lattice parameters (Å, degrees): 3.686 5.633 10.914 90.00 99.80 90.00
Fractional positions:
Ac1 0.204 0.250 0.408
Ac2 0.796 0.750 0.592
Pr1 0.393 0.250 0.787
Pr2 0.607 0.750 0.213
Tm1 0.041 0.250 0.078
Tm2 0.959 0.750 0.922

=====

Structures ranked by computed energy, the most stable listed first: iv, ii, iii, i.

=====

## i
Material: AcPr7Tm2
Method: DFT, PBE
State: relaxed

Output
The value obtained for the density of states at the Fermi level is 13.66 states/eV/cell. The symmetry is Immm. Its magnetic moment is 0.00 μB/cell.

Lattice parameters (Å, degrees): 9.705 9.705 9.705 146.30 132.32 59.65
Fractional positions:
Ac1 0.000 0.000 0.000
Pr1 0.068 0.367 0.701
Pr2 0.334 0.633 0.701
Pr3 0.341 0.841 0.500
Pr4 0.500 0.500 0.000
Pr5 0.659 0.159 0.500
Pr6 0.666 0.367 0.299
Pr7 0.932 0.633 0.299
Tm1 0.214 0.214 0.000
Tm2 0.786 0.786 0.000

=====

## ii
Material: AcPr7Tm2
Method: DFT, PBE
State: relaxed

Output
The value obtained for the density of states at the Fermi level is 13.69 states/eV/cell. The symmetry is Cmmm. Its magnetic moment is 0.00 μB/cell.

Lattice parameters (Å, degrees): 9.237 9.237 5.933 90.00 90.00 120.87
Fractional positions:
Ac1 0.000 0.000 0.000
Pr1 0.062 0.301 0.500
Pr2 0.241 0.759 0.000
Pr3 0.301 0.062 0.500
Pr4 0.500 0.500 0.500
Pr5 0.699 0.938 0.500
Pr6 0.759 0.241 0.000
Pr7 0.938 0.699 0.500
Tm1 0.297 0.703 0.500
Tm2 0.703 0.297 0.500

=====

Structures ranked by computed energy, the most stable listed first: i, ii.